First-principles (PBE-GGA) data for an optimized crystal structure of Sr5ThIn6, as listed in Alexandria via LeMat-Bulk.

a b c (Å): 5.735 7.976 9.909
angles (deg): 66.28 73.58 90.00
Sites, in units of the cell vectors:
Sr: 0.680 0.178 0.643
Sr: 0.337 0.338 0.323
Sr: 0.000 0.500 0.000
Sr: 0.663 0.662 0.677
Sr: 0.320 0.822 0.357
Th: 0.000 0.000 0.000
In: 0.837 0.607 0.322
In: 0.837 0.071 0.322
In: 0.500 0.775 0.000
In: 0.500 0.225 0.000
In: 0.163 0.929 0.678
In: 0.163 0.393 0.678

## Properties
The calculation puts the formation energy at -0.38 eV/atom. The space group is C2/m (12). Its total energy is -36.80 eV per formula unit. As for the density of states at the Fermi level: 0.6835 states/eV per atom. The value obtained for the magnetization is 0.0 μB per formula unit.